# V3IN | Alexandria via LeMat-Bulk | GGA-PBE | relaxed
data_V3IN
_chemical_formula_sum 'V3 I1 N1'
_cell_length_a 4.0611
_cell_length_b 4.0611
_cell_length_c 4.0611
_cell_angle_alpha 90.00
_cell_angle_beta 90.00
_cell_angle_gamma 90.00
_symmetry_space_group_name_H-M 'P 1'
_symmetry_Int_Tables_number 1
_symmetry_space_group_name_Hall 'P 1'
loop_
_atom_site_label
_atom_site_fract_x
_atom_site_fract_y
_atom_site_fract_z
I1 0.5000 0.5000 0.5000
V1 0.0000 0.5000 0.0000
V2 0.0000 0.0000 0.5000
V3 0.5000 0.0000 0.0000
N1 0.0000 0.0000 0.0000
# SG = Pm-3m (221)
# total moment = 0.00 μB per cell
# final energy = -7.392 eV/atom
# energy relative to the lowest polymorph listed for this composition = 0.00 eV per formula unit
# formation energy without anion corrections = 0.0543 eV per atom